[1]
This record from the Open Quantum Materials Database describes a geometry-optimized DyErPb2 structure. The functional is PBE-GGA.

Results
M_tot: 0.0 μB/cell
symmetry: Amm2
E: -18.39 eV for the cell shown

a = 4.4217 Å, b = 6.2285 Å, c = 6.2285 Å
α = 42.14°, β = 90.00°, γ = 90.00°
With the nearest neighbours (Å) after each atom.
Sites, in units of the cell vectors:
Dy  0.0000  0.6298  0.6298  7 Pb 3.13-3.50
Er  0.5000  0.3702  0.3702  7 Pb 3.13-3.50
Pb  0.5000  0.1013  0.1013  3 Er 3.13-3.50, 4 Dy 3.16, 2 Pb 3.23
Pb  0.0000  0.8987  0.8987  3 Dy 3.13-3.50, 4 Er 3.16, 2 Pb 3.23

=====

[2]
This record from the Open Quantum Materials Database describes a geometry-optimized DyErPd2Pb structure. The functional is PBE-GGA.

Results
M_tot: 0.0 μB/cell
symmetry: Amm2
E: -27.30 eV for the cell shown

a = 3.5912 Å, b = 7.7596 Å, c = 7.7596 Å
α = 31.82°, β = 90.00°, γ = 90.00°
With the nearest neighbours (Å) after each atom.
Sites, in units of the cell vectors:
Dy  0.0000  0.3646  0.3646  6 Pd 2.91-3.14
Er  0.0000  0.6364  0.6364  6 Pd 2.90-3.12
Pb  0.5000  0.0004  0.0004  2 Pd 2.85-2.88
Pd  0.5000  0.1916  0.1916  2 Pd 2.74, 1 Pb 2.85, 4 Er 2.90
Pd  0.5000  0.8071  0.8071  2 Pd 2.74, 1 Pb 2.88, 4 Dy 2.91

=====

[3]
This record from the Open Quantum Materials Database describes a geometry-optimized Dy2ErPd3Pb3 structure. The functional is PBE-GGA.

Results
M_tot: 0.0 μB/cell
symmetry: Amm2
E: -46.92 eV for the cell shown

a = 3.8497 Å, b = 7.8344 Å, c = 7.8344 Å
α = 119.90°, β = 90.00°, γ = 90.00°
With the nearest neighbours (Å) after each atom.
Sites, in units of the cell vectors:
Dy  0.0000  0.4007  0.0000  5 Pd 3.08-3.14, 6 Pb 3.24-3.38
Dy  0.0000  0.0000  0.4007  5 Pd 3.08-3.14, 6 Pb 3.24-3.38
Er  0.0000  0.5996  0.5996  5 Pd 3.06-3.13, 6 Pb 3.24-3.37
Pb  0.5000  0.2674  0.2674  4 Pd 2.85-2.90
Pb  0.5000  0.9996  0.7325  4 Pd 2.84-2.92
Pb  0.5000  0.7325  0.9996  4 Pd 2.84-2.92
Pd  0.5000  0.6663  0.3348  3 Pb 2.90-2.92, 2 Er 3.06, 4 Dy 3.08
Pd  0.5000  0.3348  0.6663  3 Pb 2.90-2.92, 2 Er 3.06, 4 Dy 3.08
Pd  0.0000  0.9990  0.9990  6 Pb 2.84-2.85, 1 Er 3.13, 2 Dy 3.14

=====

[4]
This record from the Open Quantum Materials Database describes a geometry-optimized DyErPt4Pb2 structure. The functional is PBE-GGA.

Results
M_tot: 0.0 μB/cell
symmetry: P-6m2
E: -46.98 eV for the cell shown

a = 4.6451 Å, b = 4.6451 Å, c = 9.0344 Å
α = 90.00°, β = 90.00°, γ = 120.00°
With the nearest neighbours (Å) after each atom.
Sites, in units of the cell vectors:
Dy  0.0000  0.0000  0.0000  8 Pt 3.03-3.13
Er  0.6667  0.3333  0.5000  8 Pt 3.02-3.11
Pb  0.3333  0.6667  0.2507  6 Pt 2.82
Pb  0.3333  0.6667  0.7493  6 Pt 2.82
Pt  0.6667  0.3333  0.1552  1 Pt 2.80, 3 Pb 2.82, 3 Dy 3.03, 1 Er 3.11
Pt  0.0000  0.0000  0.3460  1 Pt 2.78, 3 Pb 2.82, 3 Er 3.02
Pt  0.0000  0.0000  0.6540  1 Pt 2.78, 3 Pb 2.82, 3 Er 3.02
Pt  0.6667  0.3333  0.8448  1 Pt 2.80, 3 Pb 2.82, 3 Dy 3.03, 1 Er 3.11

=====

[5]
This record from the Open Quantum Materials Database describes a geometry-optimized DyErZn2Pb2 structure. The functional is PBE-GGA.

Results
M_tot: 0.0 μB/cell
energy above the most stable polymorph in this dataset: 0.00 eV/f.u.
symmetry: P6_3/mmc
E: -42.84 eV for the cell shown

a = 4.5783 Å, b = 4.5783 Å, c = 15.9532 Å
α = 90.00°, β = 90.00°, γ = 120.00°
With the nearest neighbours (Å) after each atom.
Sites, in units of the cell vectors:
Dy  0.0000  0.0000  0.0000  6 Pb 3.17
Dy  0.0000  0.0000  0.5000  6 Pb 3.17
Er  0.0000  0.0000  0.2500  6 Zn 2.96
Er  0.0000  0.0000  0.7500  6 Zn 2.96
Pb  0.3333  0.6667  0.1100  3 Zn 2.79
Pb  0.3333  0.6667  0.3900  3 Zn 2.79
Pb  0.6667  0.3333  0.6100  3 Zn 2.79
Pb  0.6667  0.3333  0.8900  3 Zn 2.79
Zn  0.6667  0.3333  0.1659  1 Zn 2.68, 3 Pb 2.79, 3 Er 2.96
Zn  0.6667  0.3333  0.3341  1 Zn 2.68, 3 Pb 2.79, 3 Er 2.96
Zn  0.3333  0.6667  0.6659  1 Zn 2.68, 3 Pb 2.79, 3 Er 2.96
Zn  0.3333  0.6667  0.8341  1 Zn 2.68, 3 Pb 2.79, 3 Er 2.96

=====

[6]
This record from the Open Quantum Materials Database describes a geometry-optimized DyErZn2Pb2 structure. The functional is PBE-GGA.

Results
M_tot: 0.0 μB/cell
energy above the most stable polymorph in this dataset: 0.01 eV/f.u.
symmetry: P6_3/mmc
E: -42.81 eV for the cell shown

a = 4.5829 Å, b = 4.5829 Å, c = 15.9286 Å
α = 90.00°, β = 90.00°, γ = 120.00°
With the nearest neighbours (Å) after each atom.
Sites, in units of the cell vectors:
Dy  0.0000  0.0000  0.2500  6 Zn 2.97
Dy  0.0000  0.0000  0.7500  6 Zn 2.97
Er  0.0000  0.0000  0.0000  6 Pb 3.16
Er  0.0000  0.0000  0.5000  6 Pb 3.16
Pb  0.3333  0.6667  0.1089  3 Zn 2.80
Pb  0.3333  0.6667  0.3911  3 Zn 2.80
Pb  0.6667  0.3333  0.6089  3 Zn 2.80
Pb  0.6667  0.3333  0.8911  3 Zn 2.80
Zn  0.6667  0.3333  0.1655  1 Zn 2.69, 3 Pb 2.80, 3 Dy 2.97
Zn  0.6667  0.3333  0.3345  1 Zn 2.69, 3 Pb 2.80, 3 Dy 2.97
Zn  0.3333  0.6667  0.6655  1 Zn 2.69, 3 Pb 2.80, 3 Dy 2.97
Zn  0.3333  0.6667  0.8345  1 Zn 2.69, 3 Pb 2.80, 3 Dy 2.97

=====

[7]
This record from the Open Quantum Materials Database describes a geometry-optimized DyErPd structure. The functional is PBE-GGA.

Results
M_tot: 0.0 μB/cell
energy above the most stable polymorph in this dataset: 0.02 eV/f.u.
symmetry: Pnma
E: -65.03 eV for the cell shown
calculated formation energy: -0.639 eV/atom

a = 7.0346 Å, b = 4.8406 Å, c = 8.6970 Å
α = 90.00°, β = 90.00°, γ = 90.00°
With the nearest neighbours (Å) after each atom.
Sites, in units of the cell vectors:
Dy  0.8545  0.7500  0.0802  4 Pd 2.86-2.97
Dy  0.3545  0.7500  0.4198  4 Pd 2.86-2.97
Dy  0.6455  0.2500  0.5802  4 Pd 2.86-2.97
Dy  0.1455  0.2500  0.9198  4 Pd 2.86-2.97
Er  0.5161  0.2500  0.1717  3 Pd 2.80-3.09
Er  0.0161  0.2500  0.3283  3 Pd 2.80-3.09
Er  0.9839  0.7500  0.6717  3 Pd 2.80-3.09
Er  0.4839  0.7500  0.8283  3 Pd 2.80-3.09
Pd  0.2601  0.7500  0.0949  3 Er 2.80-3.09, 4 Dy 2.86-2.97
Pd  0.7601  0.7500  0.4051  3 Er 2.80-3.09, 4 Dy 2.86-2.97
Pd  0.2399  0.2500  0.5949  3 Er 2.80-3.09, 4 Dy 2.86-2.97
Pd  0.7399  0.2500  0.9051  3 Er 2.80-3.09, 4 Dy 2.86-2.97

=====

[8]
This record from the Open Quantum Materials Database describes a geometry-optimized DyErPd structure. The functional is PBE-GGA.

Results
M_tot: 0.0 μB/cell
energy above the most stable polymorph in this dataset: 0.00 eV/f.u.
symmetry: Pnma
E: -65.12 eV for the cell shown
calculated formation energy: -0.647 eV/atom

a = 7.0351 Å, b = 4.8399 Å, c = 8.7053 Å
α = 90.00°, β = 90.00°, γ = 90.00°
With the nearest neighbours (Å) after each atom.
Sites, in units of the cell vectors:
Dy  0.9838  0.2500  0.1726  3 Pd 2.82-3.10
Dy  0.4838  0.2500  0.3274  3 Pd 2.82-3.10
Dy  0.5162  0.7500  0.6726  3 Pd 2.82-3.10
Dy  0.0162  0.7500  0.8274  3 Pd 2.82-3.10
Er  0.6444  0.7500  0.0799  4 Pd 2.84-2.97
Er  0.1444  0.7500  0.4201  4 Pd 2.84-2.97
Er  0.8556  0.2500  0.5799  4 Pd 2.84-2.97
Er  0.3556  0.2500  0.9201  4 Pd 2.84-2.97
Pd  0.2414  0.7500  0.0948  3 Dy 2.82-3.10, 4 Er 2.84-2.97
Pd  0.7414  0.7500  0.4052  3 Dy 2.82-3.10, 4 Er 2.84-2.97
Pd  0.2586  0.2500  0.5948  3 Dy 2.82-3.10, 4 Er 2.84-2.97
Pd  0.7586  0.2500  0.9052  3 Dy 2.82-3.10, 4 Er 2.84-2.97

=====

[9]
This record from the Open Quantum Materials Database describes a geometry-optimized Dy3ErPd4 structure. The functional is PBE-GGA.

Results
M_tot: 0.0 μB/cell
symmetry: Pm
E: -46.53 eV for the cell shown
calculated formation energy: -0.933 eV/atom

a = 5.6352 Å, b = 4.5190 Å, c = 6.8425 Å
α = 90.00°, β = 90.20°, γ = 90.00°
With the nearest neighbours (Å) after each atom.
Sites, in units of the cell vectors:
Dy  0.1444  0.0000  0.1820  7 Pd 2.92-3.04
Dy  0.6435  0.5000  0.3186  7 Pd 2.91-3.05
Dy  0.8555  0.5000  0.8182  7 Pd 2.90-3.03
Er  0.3563  0.0000  0.6816  7 Pd 2.91-3.04
Pd  0.6553  0.0000  0.0413  6 Dy 2.92-3.04, 2 Pd 2.92, 1 Er 2.98
Pd  0.1577  0.5000  0.4610  5 Dy 2.91-3.05, 2 Pd 2.93, 2 Er 2.94
Pd  0.8438  0.0000  0.5434  2 Er 2.91-3.04, 2 Pd 2.93, 5 Dy 2.94-3.00
Pd  0.3434  0.5000  0.9538  5 Dy 2.90-3.03, 2 Pd 2.92, 2 Er 2.93

=====

[10]
This record from the Open Quantum Materials Database describes a geometry-optimized DyErPd6 structure. The functional is PBE-GGA.

Results
M_tot: 0.0 μB/cell
symmetry: P4/mmm
E: -47.47 eV for the cell shown
calculated formation energy: -0.906 eV/atom

a = 4.1007 Å, b = 4.1007 Å, c = 8.1977 Å
α = 90.00°, β = 90.00°, γ = 90.00°
With the nearest neighbours (Å) after each atom.
Sites, in units of the cell vectors:
Dy  0.0000  0.0000  0.0000  12 Pd 2.90-2.91
Er  0.0000  0.0000  0.5000  12 Pd 2.89-2.90
Pd  0.5000  0.5000  0.0000  4 Dy 2.90, 8 Pd 2.91
Pd  0.5000  0.0000  0.2516  2 Er 2.89, 8 Pd 2.89-2.91, 2 Dy 2.91
Pd  0.0000  0.5000  0.2516  2 Er 2.89, 8 Pd 2.89-2.91, 2 Dy 2.91
Pd  0.5000  0.5000  0.5000  8 Pd 2.89, 4 Er 2.90
Pd  0.5000  0.0000  0.7484  2 Er 2.89, 8 Pd 2.89-2.91, 2 Dy 2.91
Pd  0.0000  0.5000  0.7484  2 Er 2.89, 8 Pd 2.89-2.91, 2 Dy 2.91

=====

[11]
This record from the Open Quantum Materials Database describes a geometry-optimized DyErPd structure. The functional is PBE-GGA.

Results
M_tot: 0.0 μB/cell
energy above the most stable polymorph in this dataset: 0.45 eV/f.u.
symmetry: F-43m
E: -15.83 eV for the cell shown
calculated formation energy: -0.497 eV/atom

a = 4.8438 Å, b = 4.8438 Å, c = 4.8438 Å
α = 60.00°, β = 60.00°, γ = 60.00°
With the nearest neighbours (Å) after each atom.
Sites, in units of the cell vectors:
Dy  0.2500  0.2500  0.2500  4 Pd 2.97
Er  0.7500  0.7500  0.7500  4 Pd 2.97
Pd  0.0000  0.0000  0.0000  4 Dy 2.97, 4 Er 2.97

=====

[12]
This record from the Open Quantum Materials Database describes a geometry-optimized Pr3Dy2ErTe2Pd structure. The functional is PBE-GGA.

Results
M_tot: 0.0 μB/cell
symmetry: Amm2
E: -47.31 eV for the cell shown

a = 4.0819 Å, b = 8.5438 Å, c = 8.5438 Å
α = 119.97°, β = 90.00°, γ = 90.00°
With the nearest neighbours (Å) after each atom.
Sites, in units of the cell vectors:
Dy  0.0000  0.7588  0.0000  2 Pd 2.90
Dy  0.0000  0.0000  0.7588  2 Pd 2.90
Er  0.0000  0.2404  0.2404  2 Pd 2.89
Pd  0.5000  0.0014  0.0014  2 Er 2.89, 4 Dy 2.90
Pr  0.5000  0.4065  0.0000  4 Te 3.30, 1 Pd 3.47, 4 Dy 3.64-3.65, 2 Er 3.65
Pr  0.5000  0.0000  0.4065  4 Te 3.30, 1 Pd 3.47, 4 Dy 3.64-3.65, 2 Er 3.65
Pr  0.5000  0.5931  0.5931  4 Te 3.30, 1 Pd 3.49, 2 Er 3.64, 4 Dy 3.65
Te  0.0000  0.6664  0.3334  6 Pr 3.30, 2 Dy 3.31, 1 Er 3.31
Te  0.0000  0.3334  0.6664  6 Pr 3.30, 2 Dy 3.31, 1 Er 3.31

=====

What is the M_tot in the fourth record? 0.0 μB/cell